## Be2CoBO (PBE+U)

Data for crystalline Be2CoBO at its relaxed geometry.

```
Be2CoBO
1.0
3.158 0.000 0.000
0.000 3.158 0.000
0.000 0.000 4.377
Be Co B O
2 1 1 1
Cartesian
0.000 1.579 0.000
1.579 0.000 0.000
0.000 0.000 2.188
1.579 1.579 2.188
0.000 0.000 0.000
```

Output
For the total magnetization, the calculation gives 2.0 Bohr magnetons per cell. Its total energy is -5.00 eV/atom.